A relaxed structure of NaLi2Pt, computed with PBE.

Calculated values
The value obtained for the relative energy among the computed polymorphs is 0.122 eV/atom. As for the symmetry: No. 166. For the density of states at the Fermi level, the calculation gives 2.43 states/eV/f.u. The uncorrected energy is -2.96 eV/atom.

Cell: 2.9215 2.9215 10.2770 Å, 81.83 81.83 60.00°
With the nearest neighbours (Å) after each atom.
Fractional positions:
Li1 0.8983 0.8983 0.3052  3 Pt 2.60
Li2 0.1017 0.1017 0.6948  3 Pt 2.60
Pt1 0.5000 0.5000 0.5000  6 Li 2.60
Na1 0.0000 0.0000 0.0000  6 Na 2.92, 2 Li 3.09